1.
This record from Alexandria describes a relaxed K2BaCoH8 crystal. The functional is GGA-PBE.

The electronic total energy comes out at -39.6 eV per formula unit. The symmetry is P-3m1. The magnetic moment comes out at 0.729 Bohr magnetons per cell. For the density, the calculation gives 2.70 Mg/m³.

Lattice parameters (Å, degrees): 5.3810 5.3810 6.9377 90.00 90.00 120.00
Each line ends with the local moment (μB).
Element x y z (fractional)
1 K 0.6667 0.3333 0.1453  0.00
2 K 0.3333 0.6667 0.8547  0.00
3 Ba 0.0000 0.0000 0.5000  0.00
4 Co 0.0000 0.0000 0.0000  0.66
5 H 0.8670 0.7341 0.8663  -0.01
6 H 0.2659 0.1330 0.8663  -0.01
7 H 0.8670 0.1330 0.8663  -0.01
8 H 0.1330 0.2659 0.1337  -0.01
9 H 0.7341 0.8670 0.1337  -0.01
10 H 0.1330 0.8670 0.1337  -0.01
11 H 0.6667 0.3333 0.5239  0.02
12 H 0.3333 0.6667 0.4761  0.02



2.
This record from Alexandria describes a relaxed TaAl2Sb crystal. The functional is GGA-PBE.

The electronic total energy comes out at -21.5 eV per formula unit. The symmetry is I-42d. The magnetic moment comes out at 0.000 Bohr magnetons per cell. For the density, the calculation gives 7.13 Mg/m³.

Lattice parameters (Å, degrees): 7.7194 7.7194 6.1294 50.97 50.97 90.00
Element x y z (fractional)
1 Sb 0.5000 0.5000 0.0000
2 Sb 0.2500 0.7500 0.5000
3 Al 0.6346 0.1250 0.2500
4 Al 0.1154 0.6250 0.2500
5 Al 0.3750 0.3654 0.7500
6 Al 0.8750 0.8846 0.7500
7 Ta 0.0000 0.0000 0.0000
8 Ta 0.7500 0.2500 0.5000



3.
This record from Alexandria describes a relaxed KLi2GaH crystal. The functional is GGA-PBE.

The electronic total energy comes out at -10.8 eV per formula unit. The symmetry is P4/mmm. The magnetic moment comes out at 0.000 Bohr magnetons per cell. For the density, the calculation gives 1.96 Mg/m³.

Lattice parameters (Å, degrees): 4.5135 5.1489 4.5135 90.00 90.00 90.00
Element x y z (fractional)
1 H 0.0000 0.0000 0.0000
2 K 0.0000 0.5000 0.0000
3 Ga 0.5000 0.5000 0.5000
4 Li 0.0000 0.0000 0.5000
5 Li 0.5000 0.0000 0.0000